(1)
# LiPRh2, optimized geometry, DFT PBE
data_LiPRh2
_symmetry_space_group_name_H-M 'P 1'
_symmetry_Int_Tables_number 1
_symmetry_space_group_name_Hall 'P 1'
_cell_length_a 4.305
_cell_length_b 2.835
_cell_length_c 4.616
_cell_angle_alpha 72.17
_cell_angle_beta 90.00
_cell_angle_gamma 90.00
loop_
_atom_site_label
_atom_site_fract_x
_atom_site_fract_y
_atom_site_fract_z
P1 0.500 0.924 0.777
Rh1 0.500 0.195 0.235
Rh2 0.000 0.824 0.977
Li1 0.000 0.557 0.511
# Energy relative to the elements: -174 kJ/mol of formula units
# SG: Amm2 (38)
# Mass density: 7547 kg/m3
# Crystal system: orthorhombic

(2)
# LiPRuRh, optimized geometry, DFT PBE
data_LiPRuRh
_symmetry_space_group_name_H-M 'P 1'
_symmetry_Int_Tables_number 1
_symmetry_space_group_name_Hall 'P 1'
_cell_length_a 4.057
_cell_length_b 4.057
_cell_length_c 4.057
_cell_angle_alpha 60.00
_cell_angle_beta 60.00
_cell_angle_gamma 60.00
loop_
_atom_site_label
_atom_site_fract_x
_atom_site_fract_y
_atom_site_fract_z
Rh1 0.000 0.000 0.000
Li1 0.750 0.750 0.750
Ru1 0.500 0.500 0.500
P1 0.250 0.250 0.250
# Energy relative to the elements: -218 kJ/mol of formula units
# SG: F-43m (216)
# Mass density: 8509 kg/m3
# Crystal system: cubic

(3)
# LiSm2P3Rh12, optimized geometry, DFT PBE
data_LiSm2P3Rh12
_symmetry_space_group_name_H-M 'P 1'
_symmetry_Int_Tables_number 1
_symmetry_space_group_name_Hall 'P 1'
_cell_length_a 6.673
_cell_length_b 6.673
_cell_length_c 6.673
_cell_angle_alpha 82.84
_cell_angle_beta 82.84
_cell_angle_gamma 82.84
loop_
_atom_site_label
_atom_site_fract_x
_atom_site_fract_y
_atom_site_fract_z
P1 0.000 0.000 0.500
P2 0.500 0.000 0.000
P3 0.000 0.500 0.000
Rh1 0.090 0.634 0.634
Rh2 0.366 0.910 0.366
Rh3 0.829 0.829 0.324
Rh4 0.676 0.171 0.171
Rh5 0.171 0.171 0.676
Rh6 0.910 0.366 0.366
Rh7 0.171 0.676 0.171
Rh8 0.634 0.634 0.090
Rh9 0.634 0.090 0.634
Rh10 0.829 0.324 0.829
Rh11 0.324 0.829 0.829
Rh12 0.366 0.366 0.910
Li1 0.000 0.000 0.000
Sm1 0.373 0.373 0.373
Sm2 0.627 0.627 0.627
# Energy relative to the elements: -516 kJ/mol of formula units
# SG: R-3m (166)
# Mass density: 9342 kg/m3
# Crystal system: trigonal

(4)
# Sr2LiPRh, optimized geometry, DFT PBE
data_Sr2LiPRh
_symmetry_space_group_name_H-M 'P 1'
_symmetry_Int_Tables_number 1
_symmetry_space_group_name_Hall 'P 1'
_cell_length_a 5.799
_cell_length_b 4.473
_cell_length_c 5.799
_cell_angle_alpha 90.00
_cell_angle_beta 90.00
_cell_angle_gamma 90.00
loop_
_atom_site_label
_atom_site_fract_x
_atom_site_fract_y
_atom_site_fract_z
Sr1 0.500 0.000 0.000
Sr2 0.000 0.000 0.500
Li1 0.000 0.500 0.000
P1 0.000 0.000 0.000
Rh1 0.500 0.500 0.500
# Energy relative to the elements: -71 kJ/mol of formula units
# SG: P4/mmm (123)
# Mass density: 3489 kg/m3
# Crystal system: tetragonal

(5)
# SrLiP2Rh, optimized geometry, DFT PBE
data_SrLiP2Rh
_symmetry_space_group_name_H-M 'P 1'
_symmetry_Int_Tables_number 1
_symmetry_space_group_name_Hall 'P 1'
_cell_length_a 4.111
_cell_length_b 4.111
_cell_length_c 5.829
_cell_angle_alpha 110.65
_cell_angle_beta 110.65
_cell_angle_gamma 90.00
loop_
_atom_site_label
_atom_site_fract_x
_atom_site_fract_y
_atom_site_fract_z
P1 0.617 0.617 0.234
P2 0.383 0.383 0.766
Sr1 0.000 0.000 0.000
Li1 0.750 0.250 0.500
Rh1 0.250 0.750 0.500
# Energy relative to the elements: -415 kJ/mol of formula units
# SG: I-4m2 (119)
# Mass density: 5045 kg/m3
# Crystal system: tetragonal

(6)
# SrLi2PRh2, optimized geometry, DFT PBE
data_SrLi2PRh2
_symmetry_space_group_name_H-M 'P 1'
_symmetry_Int_Tables_number 1
_symmetry_space_group_name_Hall 'P 1'
_cell_length_a 4.491
_cell_length_b 4.491
_cell_length_c 6.037
_cell_angle_alpha 90.00
_cell_angle_beta 90.00
_cell_angle_gamma 90.00
loop_
_atom_site_label
_atom_site_fract_x
_atom_site_fract_y
_atom_site_fract_z
Rh1 0.500 0.000 0.000
Rh2 0.000 0.500 0.000
Li1 0.500 0.500 0.770
Li2 0.500 0.500 0.230
P1 0.000 0.000 0.000
Sr1 0.000 0.000 0.500
# Energy relative to the elements: -256 kJ/mol of formula units
# SG: P4/mmm (123)
# Mass density: 4614 kg/m3
# Crystal system: tetragonal

(7)
# LiTb2P3Rh12, optimized geometry, DFT PBE
data_LiTb2P3Rh12
_symmetry_space_group_name_H-M 'P 1'
_symmetry_Int_Tables_number 1
_symmetry_space_group_name_Hall 'P 1'
_cell_length_a 6.645
_cell_length_b 6.645
_cell_length_c 6.645
_cell_angle_alpha 82.83
_cell_angle_beta 82.83
_cell_angle_gamma 82.83
loop_
_atom_site_label
_atom_site_fract_x
_atom_site_fract_y
_atom_site_fract_z
P1 0.000 0.500 0.000
P2 0.500 0.000 0.000
P3 0.000 0.000 0.500
Rh1 0.173 0.173 0.674
Rh2 0.368 0.908 0.368
Rh3 0.908 0.368 0.368
Rh4 0.632 0.632 0.092
Rh5 0.326 0.827 0.827
Rh6 0.368 0.368 0.908
Rh7 0.827 0.326 0.827
Rh8 0.632 0.092 0.632
Rh9 0.092 0.632 0.632
Rh10 0.173 0.674 0.173
Rh11 0.827 0.827 0.326
Rh12 0.674 0.173 0.173
Tb1 0.373 0.373 0.373
Tb2 0.627 0.627 0.627
Li1 0.000 0.000 0.000
# Energy relative to the elements: -584 kJ/mol of formula units
# SG: R-3m (166)
# Mass density: 9560 kg/m3
# Crystal system: trigonal

(8)
# LiTbP2Rh5, optimized geometry, DFT PBE
data_LiTbP2Rh5
_symmetry_space_group_name_H-M 'P 1'
_symmetry_Int_Tables_number 1
_symmetry_space_group_name_Hall 'P 1'
_cell_length_a 4.065
_cell_length_b 4.065
_cell_length_c 8.553
_cell_angle_alpha 90.00
_cell_angle_beta 90.00
_cell_angle_gamma 90.00
loop_
_atom_site_label
_atom_site_fract_x
_atom_site_fract_y
_atom_site_fract_z
P1 0.500 0.500 0.868
P2 0.500 0.500 0.132
Rh1 0.500 0.000 0.252
Rh2 0.000 0.500 0.748
Rh3 0.500 0.500 0.500
Rh4 0.500 0.000 0.748
Rh5 0.000 0.500 0.252
Li1 0.000 0.000 0.000
Tb1 0.000 0.000 0.500
# Energy relative to the elements: -629 kJ/mol of formula units
# SG: P4/mmm (123)
# Mass density: 8724 kg/m3
# Crystal system: tetragonal